[1]
This record from Alexandria describes crystalline Ca2BiCl at its relaxed geometry. The functional is GGA-PBE.

Its theoretical density is 3.90 g/cm3. Its uncorrected energy is -3.804 eV per atom. The value obtained for the energy above the lowest structure with this stoichiometry is 0.000 eV per atom. The value obtained for the formation energy from raw total energies is -1.371 eV/atom.

The space group is Pmn2_1 (No. 31) and the conventional cell measures 5.818, 10.207 and 4.655 Å, with angles of 90.00, 90.00 and 90.00 degrees. The asymmetric unit holds Ca at (0.000, 0.049, 0.000), Ca at (0.000, 0.622, 0.998), Bi at (0.000, 0.834, 0.500) and Cl at (0.000, 0.443, 0.494).

=====

[2]
This record from Alexandria describes crystalline CaBiCl3 at its relaxed geometry. The functional is GGA-PBE.

Its theoretical density is 3.80 g/cm3. Its uncorrected energy is -3.470 eV per atom. The value obtained for the energy above the lowest structure with this stoichiometry is 0.000 eV per atom. The value obtained for the formation energy from raw total energies is -1.185 eV/atom.

The space group is Pm-3m (No. 221) and the conventional cell measures 5.377, 5.377 and 5.377 Å, with angles of 90.00, 90.00 and 90.00 degrees. The asymmetric unit holds Ca at (0.000, 0.000, 0.000), Bi at (0.500, 0.500, 0.500) and Cl at (0.000, 0.000, 0.500).

=====

[3]
This record from Alexandria describes crystalline CaBiCl5 at its relaxed geometry. The functional is GGA-PBE.

Its theoretical density is 3.26 g/cm3. Its uncorrected energy is -3.682 eV per atom. The value obtained for the energy above the lowest structure with this stoichiometry is 0.000 eV per atom. The value obtained for the formation energy from raw total energies is -1.523 eV/atom.

The space group is P2_1/m (No. 11) and the conventional cell measures 8.135, 4.048 and 13.230 Å, with angles of 90.00, 94.28 and 90.00 degrees. The asymmetric unit holds Ca at (0.081, 0.250, 0.136), Bi at (0.415, 0.750, 0.346), Cl at (0.077, 0.750, 0.307), Cl at (0.131, 0.250, 0.930), Cl at (0.318, 0.250, 0.481), Cl at (0.340, 0.750, 0.138) and Cl at (0.383, 0.750, 0.709).

=====

[4]
This record from Alexandria describes crystalline CaBiCl at its relaxed geometry. The functional is GGA-PBE.

Its theoretical density is 5.12 g/cm3. Its uncorrected energy is -3.983 eV per atom. The value obtained for the energy above the lowest structure with this stoichiometry is 0.002 eV per atom. The value obtained for the formation energy from raw total energies is -1.407 eV/atom.

The space group is I4/mmm (No. 139) and the conventional cell measures 4.734, 4.734 and 16.471 Å, with angles of 90.00, 90.00 and 90.00 degrees. The asymmetric unit holds Ca at (0.000, 0.000, 0.154), Bi at (0.000, 0.500, 0.000) and Cl at (0.000, 0.500, 0.250).

=====

[5]
This record from Alexandria describes crystalline CaBiCl at its relaxed geometry. The functional is GGA-PBE.

Its theoretical density is 4.60 g/cm3. Its uncorrected energy is -3.752 eV per atom. The value obtained for the energy above the lowest structure with this stoichiometry is 0.234 eV per atom. The value obtained for the formation energy from raw total energies is -1.175 eV/atom.

The space group is P1 (No. 1) and the conventional cell measures 3.741, 3.742 and 8.708 Å, with angles of 101.49, 90.38 and 119.99 degrees. The asymmetric unit holds Ca at (0.000, 0.000, 0.000), Bi at (0.230, 0.469, 0.686) and Cl at (0.396, 0.787, 0.192).

=====

[6]
This record from Alexandria describes crystalline CaBi3Cl at its relaxed geometry. The functional is GGA-PBE.

Its theoretical density is 5.77 g/cm3. Its uncorrected energy is -2.687 eV per atom. The value obtained for the formation energy from raw total energies is 0.411 eV/atom.

The space group is Pm-3m (No. 221) and the conventional cell measures 5.867, 5.867 and 5.867 Å, with angles of 90.00, 90.00 and 90.00 degrees. The asymmetric unit holds Ca at (0.000, 0.000, 0.000), Bi at (0.000, 0.000, 0.500) and Cl at (0.500, 0.500, 0.500).

=====

[7]
This record from Alexandria describes crystalline CaBiCl at its relaxed geometry. The functional is GGA-PBE.

Its theoretical density is 4.86 g/cm3. Its uncorrected energy is -3.821 eV per atom. The value obtained for the energy above the lowest structure with this stoichiometry is 0.164 eV per atom. The value obtained for the formation energy from raw total energies is -1.245 eV/atom.

The space group is P1 (No. 1) and the conventional cell measures 3.484, 3.484 and 8.376 Å, with angles of 78.21, 78.06 and 90.00 degrees. The asymmetric unit holds Ca at (0.000, 0.000, 0.000), Bi at (0.656, 0.655, 0.685) and Cl at (0.413, 0.414, 0.174).

=====

[8]
This record from Alexandria describes crystalline Ca2BiCl at its relaxed geometry. The functional is GGA-PBE.

Its theoretical density is 3.41 g/cm3. Its uncorrected energy is -3.584 eV per atom. The value obtained for the energy above the lowest structure with this stoichiometry is 0.220 eV per atom. The value obtained for the formation energy from raw total energies is -1.151 eV/atom.

The space group is I-42d (No. 122) and the conventional cell measures 6.521, 6.521 and 14.851 Å, with angles of 90.00, 90.00 and 90.00 degrees. The asymmetric unit holds Ca at (0.226, 0.250, 0.125), Bi at (0.000, 0.000, 0.500) and Cl at (0.000, 0.000, 0.000).

=====

[9]
This record from Alexandria describes crystalline Ca2BiCl at its relaxed geometry. The functional is GGA-PBE.

Its theoretical density is 4.25 g/cm3. Its uncorrected energy is -3.756 eV per atom. The value obtained for the energy above the lowest structure with this stoichiometry is 0.048 eV per atom. The value obtained for the formation energy from raw total energies is -1.323 eV/atom.

The space group is R-3m (No. 166, hexagonal axes) and the conventional cell measures 4.6044, 4.6044 and 20.7342 Å, with angles of 90.00, 90.00 and 120.00 degrees. The asymmetric unit holds Ca at (0.0000, 0.0000, 0.2457), Bi at (0.0000, 0.0000, 0.5000) and Cl at (0.0000, 0.0000, 0.0000).

=====

[10]
This record from Alexandria describes crystalline CaBiCl at its relaxed geometry. The functional is GGA-PBE.

Its theoretical density is 5.11 g/cm3. Its uncorrected energy is -3.985 eV per atom. The value obtained for the energy above the lowest structure with this stoichiometry is 0.000 eV per atom. The value obtained for the formation energy from raw total energies is -1.409 eV/atom.

The space group is Pmmn (No. 59, origin choice 2) and the conventional cell measures 4.721, 4.753 and 8.246 Å, with angles of 90.00, 90.00 and 90.00 degrees. The asymmetric unit holds Ca at (0.250, 0.250, 0.192), Bi at (0.250, 0.750, 0.500) and Cl at (0.250, 0.750, 0.001).

=====

[11]
This record from Alexandria describes crystalline CaBiCl5 at its relaxed geometry. The functional is GGA-PBE.

Its theoretical density is 3.09 g/cm3. Its uncorrected energy is -3.676 eV per atom. The value obtained for the energy above the lowest structure with this stoichiometry is 0.006 eV per atom. The value obtained for the formation energy from raw total energies is -1.517 eV/atom.

The space group is C2/c (No. 15) and the conventional cell measures 11.684, 8.458 and 10.254 Å, with angles of 90.00, 115.17 and 90.00 degrees. The asymmetric unit holds Ca at (0.000, 0.026, 0.250), Bi at (0.000, 0.500, 0.000), Cl at (0.000, 0.376, 0.250), Cl at (0.041, 0.188, 0.968) and Cl at (0.248, 0.436, 0.646).

=====

[12]
This record from Alexandria describes crystalline Ca2BiCl at its relaxed geometry. The functional is GGA-PBE.

Its theoretical density is 3.98 g/cm3. Its uncorrected energy is -3.676 eV per atom. The value obtained for the energy above the lowest structure with this stoichiometry is 0.128 eV per atom. The value obtained for the formation energy from raw total energies is -1.243 eV/atom.

The space group is R3m (No. 160, hexagonal axes) and the conventional cell measures 4.5226, 4.5226 and 22.9190 Å, with angles of 90.00, 90.00 and 120.00 degrees. The asymmetric unit holds Ca at (0.0000, 0.0000, 0.0000), Ca at (0.0000, 0.0000, 0.1857), Bi at (0.0000, 0.0000, 0.5950) and Cl at (0.0000, 0.0000, 0.7744).

=====

[13]
This record from Alexandria describes crystalline CaBiCl at its relaxed geometry. The functional is GGA-PBE.

Its theoretical density is 4.74 g/cm3. Its uncorrected energy is -3.773 eV per atom. The value obtained for the energy above the lowest structure with this stoichiometry is 0.212 eV per atom. The value obtained for the formation energy from raw total energies is -1.197 eV/atom.

The space group is C2/m (No. 12) and the conventional cell measures 7.783, 3.891 and 13.177 Å, with angles of 90.00, 91.80 and 90.00 degrees. The asymmetric unit holds Ca at (0.151, 0.000, 0.272), Bi at (0.055, 0.500, 0.896) and Cl at (0.157, 0.000, 0.628).